The following is a GGA-PBE calculation of an optimized crystal structure of KIn6Ga, from the Alexandria database.

Lattice parameters (Å, degrees): 5.0883 5.0883 9.1242 90.00 90.00 90.00
Last column: nearest neighbours and their distance in Å.
Sites, in units of the cell vectors:
1 In 0.5000 0.5000 0.8430  5 In 2.87-2.99
2 In 0.0000 0.5000 0.3293  2 Ga 2.98, 3 In 2.99-3.11
3 K 0.0000 0.0000 0.0000  16 In 3.87-3.94
4 In 0.5000 0.5000 0.1570  5 In 2.87-2.99
5 Ga 0.0000 0.0000 0.5000  8 In 2.98
6 In 0.0000 0.5000 0.6707  2 Ga 2.98, 3 In 2.99-3.11
7 In 0.5000 0.0000 0.3293  2 Ga 2.98, 3 In 2.99-3.11
8 In 0.5000 0.0000 0.6707  2 Ga 2.98, 3 In 2.99-3.11

Calculated values
Distance to the lowest polymorph of the same formula in eV per atom: 0.000
ΔE_f in eV/atom: -0.0744
Symmetry: P4/mmm, No. 123


The following is a GGA-PBE calculation of an optimized crystal structure of CaNd2Dy3Bi6, from the Alexandria database.

Lattice parameters (Å, degrees): 4.5401 9.1087 10.1817 103.19 102.88 90.00
Last column: nearest neighbours and their distance in Å.
Sites, in units of the cell vectors:
1 Bi 0.6652 0.5873 0.3304  3 Dy 3.19, 3 Nd 3.26-3.27
2 Dy 0.1665 0.8336 0.3330  6 Bi 3.17-3.19
3 Nd 0.1655 0.3305 0.3311  6 Bi 3.24-3.27
4 Nd 0.8345 0.6695 0.6689  6 Bi 3.24-3.27
5 Ca 0.5000 0.0000 0.0000  6 Bi 3.25-3.26
6 Bi 0.3348 0.4127 0.6696  3 Dy 3.19, 3 Nd 3.26-3.27
7 Bi 0.3314 0.9222 0.6629  3 Dy 3.17-3.18, 2 Nd 3.24, 1 Ca 3.25
8 Dy 0.5000 0.5000 0.0000  6 Bi 3.17-3.19
9 Dy 0.8335 0.1664 0.6670  6 Bi 3.17-3.19
10 Bi 0.9975 0.2557 0.9950  3 Dy 3.17, 1 Nd 3.24, 2 Ca 3.26
11 Bi 0.6686 0.0778 0.3371  3 Dy 3.17-3.18, 2 Nd 3.24, 1 Ca 3.25
12 Bi 0.0025 0.7443 0.0050  3 Dy 3.17, 1 Nd 3.24, 2 Ca 3.26

Calculated values
ΔE_f in eV/atom: -0.8541
Symmetry: C2/m, No. 12


The following is a GGA-PBE calculation of an optimized crystal structure of PmDyTm, from the Alexandria database.

Lattice parameters (Å, degrees): 4.8473 4.8473 8.5986 90.00 90.00 90.00
Last column: nearest neighbours and their distance in Å.
Sites, in units of the cell vectors:
1 Pm 0.5000 0.5000 0.0000  4 Pm 3.43, 4 Tm 3.54, 4 Dy 3.56
2 Dy 0.0000 0.5000 0.6968  5 Tm 3.41-3.43, 4 Pm 3.56
3 Pm 0.0000 0.0000 0.0000  4 Pm 3.43, 4 Tm 3.54, 4 Dy 3.56
4 Tm 0.5000 0.0000 0.7002  5 Dy 3.41-3.43, 4 Pm 3.54
5 Dy 0.5000 0.0000 0.3032  5 Tm 3.41-3.43, 4 Pm 3.56
6 Tm 0.0000 0.5000 0.2998  5 Dy 3.41-3.43, 4 Pm 3.54

Calculated values
Distance to the lowest polymorph of the same formula in eV per atom: 0.245
ΔE_f in eV/atom: 0.2409
Symmetry: P4/nmm, No. 129


The following is a GGA-PBE calculation of an optimized crystal structure of ZrFeSbTe2, from the Alexandria database.

Lattice parameters (Å, degrees): 5.1562 5.1562 4.7437 90.00 90.00 90.00
Last column: nearest neighbours and their distance in Å.
Sites, in units of the cell vectors:
1 Sb 0.0000 0.0000 0.5000  2 Fe 2.37
2 Te 0.0000 0.5000 0.0000  2 Fe 2.58
3 Zr 0.5000 0.5000 0.5000  8 Te 3.50, 4 Sb 3.65
4 Te 0.5000 0.0000 0.0000  2 Fe 2.58
5 Fe 0.0000 0.0000 0.0000  2 Sb 2.37, 4 Te 2.58

Calculated values
Distance to the lowest polymorph of the same formula in eV per atom: 0.000
Symmetry: P4/mmm, No. 123


The following is a GGA-PBE calculation of an optimized crystal structure of BeCu2Ag, from the Alexandria database.

Lattice parameters (Å, degrees): 4.6913 4.6913 4.6913 135.21 135.21 65.20
Last column: nearest neighbours and their distance in Å.
Sites, in units of the cell vectors:
1 Be 0.7500 0.2500 0.5000  4 Ag 2.53, 8 Cu 2.66
2 Cu 0.5000 0.5000 0.0000  4 Cu 2.53, 4 Ag 2.66, 4 Be 2.66
3 Ag 0.2500 0.7500 0.5000  4 Be 2.53, 8 Cu 2.66
4 Cu 0.0000 0.0000 0.0000  4 Cu 2.53, 4 Be 2.66, 4 Ag 2.66

Calculated values
ΔE_f in eV/atom: 0.1371
Symmetry: I4/mmm, No. 139


The following is a GGA-PBE calculation of an optimized crystal structure of Ba2InSbS6, from the Alexandria database.

Lattice parameters (Å, degrees): 7.0778 7.2153 10.2002 90.00 89.68 90.00
Last column: nearest neighbours and their distance in Å.
Sites, in units of the cell vectors:
1 S 0.2073 0.1926 0.4566  1 Sb 2.54, 1 In 2.69
2 S 0.5759 0.9768 0.2559  1 Sb 2.55, 1 In 2.67
3 Sb 0.0000 0.5000 0.0000  6 S 2.54-2.61
4 In 0.5000 0.0000 0.0000  6 S 2.61-2.69
5 S 0.4241 0.0232 0.7441  1 Sb 2.55, 1 In 2.67
6 S 0.3049 0.6966 0.4651  1 In 2.61, 1 Sb 2.61
7 In 0.0000 0.5000 0.5000  6 S 2.61-2.69
8 Ba 0.9810 0.0792 0.7487  8 S 3.16-3.47
9 Sb 0.5000 0.0000 0.5000  6 S 2.54-2.61
10 S 0.9241 0.4768 0.2441  1 Sb 2.55, 1 In 2.67
11 S 0.2927 0.6926 0.0434  1 Sb 2.54, 1 In 2.69
12 S 0.7927 0.8074 0.5434  1 Sb 2.54, 1 In 2.69
13 S 0.0759 0.5232 0.7559  1 Sb 2.55, 1 In 2.67
14 S 0.7073 0.3074 0.9566  1 Sb 2.54, 1 In 2.69
15 Ba 0.0190 0.9208 0.2513  8 S 3.16-3.47
16 S 0.6951 0.3034 0.5349  1 In 2.61, 1 Sb 2.61
17 Ba 0.5190 0.5792 0.7513  8 S 3.16-3.47
18 S 0.8049 0.8034 0.9651  1 In 2.61, 1 Sb 2.61
19 Ba 0.4810 0.4208 0.2487  8 S 3.16-3.47
20 S 0.1951 0.1966 0.0349  1 In 2.61, 1 Sb 2.61

Calculated values
Symmetry: P2_1/c, No. 14


The following is a GGA-PBE calculation of an optimized crystal structure of Li2FeSb, from the Alexandria database.

Lattice parameters (Å, degrees): 3.3225 3.3702 6.7652 60.12 90.00 90.00
Last column: nearest neighbours and their distance in Å.
Sites, in units of the cell vectors:
1 Fe 0.5000 0.7657 0.7341  4 Sb 2.64-2.65, 5 Li 2.81-2.89
2 Li 0.5000 0.2588 0.2416  4 Li 2.78, 2 Fe 2.89-2.98, 4 Sb 2.92
3 Sb 0.0000 0.4670 0.5327  4 Fe 2.64-2.65, 5 Li 2.69-2.92
4 Li 0.0000 0.0085 0.9915  1 Sb 2.69, 4 Li 2.78, 4 Fe 2.81

Calculated values
Symmetry: Pmm2, No. 25


The following is a GGA-PBE calculation of an optimized crystal structure of Tm3TiPd12, from the Alexandria database.

Lattice parameters (Å, degrees): 4.0573 4.0573 16.1683 90.00 90.00 90.00
Last column: nearest neighbours and their distance in Å.
Sites, in units of the cell vectors:
1 Pd 0.0000 0.5000 0.8853  8 Pd 2.75-2.91, 2 Ti 2.75, 2 Tm 2.93
2 Pd 0.5000 0.5000 0.5000  4 Tm 2.87, 8 Pd 2.90
3 Pd 0.5000 0.0000 0.6282  8 Pd 2.87-2.90, 4 Tm 2.88-2.90
4 Tm 0.0000 0.0000 0.5000  12 Pd 2.87-2.90
5 Pd 0.5000 0.0000 0.3718  8 Pd 2.87-2.90, 4 Tm 2.88-2.90
6 Pd 0.0000 0.5000 0.6282  8 Pd 2.87-2.90, 4 Tm 2.88-2.90
7 Pd 0.0000 0.5000 0.1147  8 Pd 2.75-2.91, 2 Ti 2.75, 2 Tm 2.93
8 Pd 0.5000 0.5000 0.7566  4 Tm 2.87, 8 Pd 2.90-2.91
9 Pd 0.5000 0.5000 0.2434  4 Tm 2.87, 8 Pd 2.90-2.91
10 Ti 0.0000 0.0000 0.0000  12 Pd 2.75-2.87
11 Tm 0.0000 0.0000 0.7546  12 Pd 2.87-2.93
12 Tm 0.0000 0.0000 0.2454  12 Pd 2.87-2.93
13 Pd 0.5000 0.0000 0.8853  8 Pd 2.75-2.91, 2 Ti 2.75, 2 Tm 2.93
14 Pd 0.0000 0.5000 0.3718  8 Pd 2.87-2.90, 4 Tm 2.88-2.90
15 Pd 0.5000 0.0000 0.1147  8 Pd 2.75-2.91, 2 Ti 2.75, 2 Tm 2.93
16 Pd 0.5000 0.5000 0.0000  8 Pd 2.75, 4 Ti 2.87

Calculated values
ΔE_f in eV/atom: -0.8486
Symmetry: P4/mmm, No. 123


The following is a GGA-PBE calculation of an optimized crystal structure of CuHPt3, from the Alexandria database.

Lattice parameters (Å, degrees): 4.5961 4.5961 4.5961 90.00 90.00 90.00
Last column: nearest neighbours and their distance in Å.
Sites, in units of the cell vectors:
1 Cu 0.0000 0.0000 0.0000  6 Pt 2.30
2 Pt 0.0000 0.5000 0.0000  2 Cu 2.30
3 Pt 0.0000 0.0000 0.5000  2 Cu 2.30
4 Pt 0.5000 0.0000 0.0000  2 Cu 2.30
5 H 0.5000 0.5000 0.5000  12 Pt 3.25

Calculated values
Distance to the lowest polymorph of the same formula in eV per atom: 1.617
Symmetry: Pm-3m, No. 221


The following is a GGA-PBE calculation of an optimized crystal structure of Ce2NdTh, from the Alexandria database.

Lattice parameters (Å, degrees): 3.4568 3.4568 12.3125 81.93 81.93 60.00
Last column: nearest neighbours and their distance in Å.
Sites, in units of the cell vectors:
1 Ce 0.0894 0.0894 0.7318  1 Nd 3.26, 3 Th 3.45, 6 Ce 3.46
2 Th 0.5000 0.5000 0.5000  6 Ce 3.45, 6 Th 3.46
3 Nd 0.0000 0.0000 0.0000  2 Ce 3.26, 6 Nd 3.46
4 Ce 0.9106 0.9106 0.2682  1 Nd 3.26, 3 Th 3.45, 6 Ce 3.46

Calculated values
Distance to the lowest polymorph of the same formula in eV per atom: 0.139
ΔE_f in eV/atom: 0.1947
Symmetry: R-3m, No. 166


The following is a GGA-PBE calculation of an optimized crystal structure of NiBr, from the Alexandria database.

Lattice parameters (Å, degrees): 3.7551 3.7551 21.6785 90.00 90.00 120.00
Last column: nearest neighbours and their distance in Å.
Sites, in units of the cell vectors:
1 Br 0.0000 0.0000 0.7512  4 Ni 2.46-2.50
2 Br 0.6667 0.3333 0.0845  4 Ni 2.46-2.50
3 Ni 0.6667 0.3333 0.6976  4 Br 2.46-2.50, 3 Ni 2.55
4 Ni 0.3333 0.6667 0.0309  4 Br 2.46-2.50, 3 Ni 2.55
5 Ni 0.6667 0.3333 0.9691  4 Br 2.46-2.50, 3 Ni 2.55
6 Ni 0.0000 0.0000 0.6358  4 Br 2.46-2.50, 3 Ni 2.55
7 Br 0.0000 0.0000 0.2488  4 Ni 2.46-2.50
8 Ni 0.0000 0.0000 0.3642  4 Br 2.46-2.50, 3 Ni 2.55
9 Br 0.3333 0.6667 0.4179  4 Ni 2.46-2.50
10 Ni 0.3333 0.6667 0.3024  4 Br 2.46-2.50, 3 Ni 2.55
11 Br 0.6667 0.3333 0.5821  4 Ni 2.46-2.50
12 Br 0.3333 0.6667 0.9155  4 Ni 2.46-2.50

Calculated values
Symmetry: R-3m, No. 166


The following is a GGA-PBE calculation of an optimized crystal structure of YbClO, from the Alexandria database.

Lattice parameters (Å, degrees): 10.0144 10.0144 10.0144 22.01 22.01 22.01
Last column: nearest neighbours and their distance in Å.
Sites, in units of the cell vectors:
1 O 0.6955 0.6955 0.6955  4 Yb 2.29
2 Cl 0.8925 0.8925 0.8925  3 Yb 2.79
3 Cl 0.1075 0.1075 0.1075  3 Yb 2.79
4 Yb 0.6172 0.6172 0.6172  4 O 2.29
5 Yb 0.3828 0.3828 0.3828  4 O 2.29
6 O 0.3045 0.3045 0.3045  4 Yb 2.29

Calculated values
Symmetry: R-3m, No. 166


| no. | electronic total energy (eV/f.u.) | V (Å³ per cell) |
| --- | --- | --- |
| 1 | -21.150 | 236.2 |
| 2 | -58.878 | 399.1 |
| 3 | -13.102 | 202.0 |
| 4 | -25.355 | 126.1 |
| 5 | -14.221 | 50.5 |
| 6 | -45.192 | 520.9 |
| 7 | -16.337 | 65.7 |
| 8 | -97.201 | 266.2 |
| 9 | -17.617 | 97.1 |
| 10 | -23.276 | 125.7 |
| 11 | -7.454 | 264.7 |
| 12 | -15.603 | 123.6 |